VASP calculation (PBE) on a geometry-optimized NaYHgPt structure.

Properties
total magnetic moment = 0.00 μB/f.u.
calculated volume = 351.1 Å³/cell
space-group type = No. 216
calculated formation energy = -0.51 eV/atom
N(E_F) = 7.97 states/eV/cell
DFT total energy = -64.600 eV for the cell shown

Cell lengths 7.0548, 7.0548, 7.0548 Å; angles 90.00, 90.00, 90.00 degrees
Positions (direct):
Na  0.0000  0.0000  0.0000
Na  0.0000  0.5000  0.5000
Na  0.5000  0.0000  0.5000
Na  0.5000  0.5000  0.0000
Y  0.0000  0.0000  0.5000
Y  0.0000  0.5000  0.0000
Y  0.5000  0.0000  0.0000
Y  0.5000  0.5000  0.5000
Hg  0.2500  0.2500  0.7500
Hg  0.2500  0.7500  0.2500
Hg  0.7500  0.2500  0.2500
Hg  0.7500  0.7500  0.7500
Pt  0.2500  0.2500  0.2500
Pt  0.2500  0.7500  0.7500
Pt  0.7500  0.2500  0.7500
Pt  0.7500  0.7500  0.2500

***

VASP calculation (PBE) on a geometry-optimized NaZnHg2Pt structure.

Properties
total magnetic moment = 0.00 μB/f.u.
calculated volume = 138.4 Å³/cell
space-group type = No. 123
calculated formation energy = -0.16 eV/atom
N(E_F) = 1.62 states/eV/cell
DFT total energy = -10.035 eV for the cell shown

Cell lengths 5.3246, 5.3246, 4.8800 Å; angles 90.00, 90.00, 90.00 degrees
Positions (direct):
Na  0.0000  0.0000  0.0000
Zn  0.5000  0.5000  0.0000
Hg  0.0000  0.5000  0.5000
Hg  0.5000  0.0000  0.5000
Pt  0.5000  0.5000  0.5000

***

VASP calculation (PBE) on a geometry-optimized Na2PuHg6 structure.

Properties
total magnetic moment = 5.91 μB/f.u.
calculated volume = 222.2 Å³/cell
space-group type = No. 191
calculated formation energy = -0.20 eV/atom
N(E_F) = 10.73 states/eV/cell
DFT total energy = -20.604 eV for the cell shown

Cell lengths 8.9369, 8.9369, 3.2131 Å; angles 90.00, 90.00, 120.00 degrees
Positions (direct):
Na  0.3333  0.6667  0.0000
Na  0.6667  0.3333  0.0000
Pu  0.0000  0.0000  0.0000
Hg  0.0000  0.3359  0.5000
Hg  0.0000  0.6641  0.5000
Hg  0.3359  0.0000  0.5000
Hg  0.3359  0.3359  0.5000
Hg  0.6641  0.0000  0.5000
Hg  0.6641  0.6641  0.5000

***

VASP calculation (PBE) on a geometry-optimized NaPuHg structure.

Properties
total magnetic moment = 6.50 μB/f.u.
calculated volume = 162.9 Å³/cell
space-group type = No. 107
offset from the most stable computed form = 0.0 kJ per mole of atoms
calculated formation energy = 0.08 eV/atom
N(E_F) = 15.20 states/eV/cell
DFT total energy = -31.455 eV for the cell shown

Cell lengths 3.2395, 3.2395, 15.5263 Å; angles 90.00, 90.00, 90.00 degrees
Positions (direct):
Na  0.0000  0.0000  0.0000
Na  0.5000  0.5000  0.5000
Pu  0.0000  0.0000  0.3018
Pu  0.5000  0.5000  0.8018
Hg  0.0000  0.0000  0.6494
Hg  0.5000  0.5000  0.1494

***

VASP calculation (PBE) on a geometry-optimized NaPu2Hg8 structure.

Properties
total magnetic moment = 12.21 μB/f.u.
calculated volume = 301.3 Å³/cell
space-group type = No. 123
calculated formation energy = -0.11 eV/atom
N(E_F) = 30.01 states/eV/cell
DFT total energy = -33.593 eV for the cell shown

Cell lengths 4.6616, 4.6616, 13.8673 Å; angles 90.00, 90.00, 90.00 degrees
Positions (direct):
Na  0.0000  0.0000  0.0000
Pu  0.0000  0.0000  0.3239
Pu  0.0000  0.0000  0.6761
Hg  0.0000  0.5000  0.1595
Hg  0.0000  0.5000  0.5000
Hg  0.0000  0.5000  0.8405
Hg  0.5000  0.0000  0.1595
Hg  0.5000  0.0000  0.5000
Hg  0.5000  0.0000  0.8405
Hg  0.5000  0.5000  0.3370
Hg  0.5000  0.5000  0.6630

***

VASP calculation (PBE) on a geometry-optimized NaPu3Hg12 structure.

Properties
total magnetic moment = 6.15 μB/f.u.
calculated volume = 413.0 Å³/cell
space-group type = No. 123
calculated formation energy = -0.12 eV/atom
N(E_F) = 48.74 states/eV/cell
DFT total energy = -49.796 eV for the cell shown

Cell lengths 4.6837, 4.6837, 18.8269 Å; angles 90.00, 90.00, 90.00 degrees
Positions (direct):
Na  0.0000  0.0000  0.0000
Pu  0.0000  0.0000  0.2457
Pu  0.0000  0.0000  0.5000
Pu  0.0000  0.0000  0.7543
Hg  0.0000  0.5000  0.1233
Hg  0.0000  0.5000  0.3739
Hg  0.0000  0.5000  0.6261
Hg  0.0000  0.5000  0.8767
Hg  0.5000  0.0000  0.1233
Hg  0.5000  0.0000  0.3739
Hg  0.5000  0.0000  0.6261
Hg  0.5000  0.0000  0.8767
Hg  0.5000  0.5000  0.0000
Hg  0.5000  0.5000  0.2505
Hg  0.5000  0.5000  0.5000
Hg  0.5000  0.5000  0.7495